(1)
Computed, not measured: MgGaNiRu after structural relaxation at the PBE-GGA level of DFT.

Cell: 3.198 4.091 4.210 Å, 90.00 90.00 90.00°
Space group Pmmm (No. 47)
Symmetry-distinct sites (fractional):
Mg 0.000 0.000 0.000 x1
Ga 0.000 0.500 0.500 x1
Ni 0.500 0.500 0.000 x1
Ru 0.500 0.000 0.500 x1

The calculation puts the energy relative to the elements at -27.5 kJ per mole of atoms. As for the magnetic moment: 0.0 Bohr magnetons per cell. The crystal system is orthorhombic. Its offset from the most stable computed form is 0 meV/atom.

=====

(2)
Computed, not measured: MgGa2NiSb after structural relaxation at the PBE-GGA level of DFT.

Cell: 4.985 4.985 4.629 Å, 90.00 90.00 90.00°
Space group P4/mmm (No. 123)
Symmetry-distinct sites (fractional):
Mg 0.000 0.000 0.000 x1
Ga 0.000 0.500 0.000 x2
Ni 0.000 0.000 0.500 x1
Sb 0.500 0.500 0.500 x1

Its formation energy (no corrections) is 3.30 eV per formula unit. As for the magnetic moment: 0.0 Bohr magnetons per cell. The crystal system is tetragonal.

=====

(3)
Computed, not measured: MgGaNiSe2 after structural relaxation at the PBE-GGA level of DFT.

Cell: 5.058 5.058 4.385 Å, 90.00 90.00 90.00°
Space group P4/mmm (No. 123)
Symmetry-distinct sites (fractional):
Mg 0.000 0.000 0.000 x1
Ga 0.500 0.500 0.500 x1
Ni 0.500 0.500 0.000 x1
Se 0.000 0.500 0.500 x2

Its formation energy (no corrections) is 1.14 eV per formula unit. As for the magnetic moment: 0.0 Bohr magnetons per cell. The crystal system is tetragonal.